1.
! Sc2TlS4 GGA-PBE relaxed; values from VASP
! Calculated total energy: -0.21673 hartree per atom
! Space group: C2/c
! M_tot: 0.00 μB per cell
! Energy relative to the elements, uncorrected: -940.2 kJ/mol of formula units
! DOS at the Fermi energy: 2.5 states/eV/f.u.
&SYSTEM
  ibrav = 0, nat = 14, ntyp = 3
/
ATOMIC_SPECIES
Sc 44.96 Sc.upf
Tl 204.38 Tl.upf
S 32.06 S.upf
CELL_PARAMETERS angstrom
-6.654 -2.026 -3.598
3.295 -6.726 -2.286
-0.088 1.933 7.587
ATOMIC_POSITIONS crystal
Sc 0.625 0.375 0.750
Sc 0.625 0.875 0.250
Sc 0.625 0.375 0.250
Sc 0.125 0.375 0.750
Tl 0.250 0.750 0.500
Tl 0.000 0.000 0.000
S 0.859 0.141 0.282
S 0.391 0.609 0.218
S 0.859 0.578 0.718
S 0.859 0.141 0.718
S 0.423 0.141 0.282
S 0.391 0.172 0.782
S 0.391 0.609 0.782
S 0.827 0.609 0.218

2.
! Tm3ScTl4S8 GGA-PBE relaxed; values from VASP
! Calculated total energy: -0.19639 hartree per atom
! Space group: R-3m
! M_tot: 0.00 μB per cell
! Energy relative to the elements, uncorrected: -2245.8 kJ/mol of formula units
&SYSTEM
  ibrav = 0, nat = 16, ntyp = 4
/
ATOMIC_SPECIES
Tm 168.93 Tm.upf
Sc 44.96 Sc.upf
Tl 204.38 Tl.upf
S 32.06 S.upf
CELL_PARAMETERS angstrom
-5.816 3.411 -4.057
-5.626 -1.890 6.476
6.384 4.156 1.974
ATOMIC_POSITIONS crystal
Tm 0.500 0.500 0.000
Tm 0.500 0.500 0.500
Tm 0.000 0.500 0.500
Sc 0.000 0.500 0.000
Tl 0.500 0.000 0.000
Tl 0.500 0.000 0.500
Tl 0.000 0.000 0.000
Tl 0.000 0.000 0.500
S 0.227 0.693 0.966
S 0.227 0.693 0.453
S 0.268 0.304 0.536
S 0.739 0.693 0.966
S 0.261 0.307 0.034
S 0.732 0.696 0.464
S 0.773 0.307 0.547
S 0.773 0.307 0.034